Below is an optimized crystal structure of TaTiPCl2, with properties calculated at the PBE level.

Lattice parameters (Å, degrees): 4.722 4.722 5.025 90.00 90.00 90.00
Last column: magnetic moment on the atom in μB.
Element x y z (fractional)
Ti (0.500, 0.500, 0.500)  -0.14
Cl (0.500, 0.000, 0.000)  0.00
Cl (0.000, 0.500, 0.000)  0.00
Ta (0.000, 0.000, 0.000)  0.25
P (0.000, 0.000, 0.500)  -0.01

Properties
**Distance to the lowest polymorph of the same formula**: 0.0 meV/atom
**D(E_F)**: 10.497 states/eV per cell
**Crystal system**: tetragonal
**Formation energy without anion corrections**: 0.26 eV per atom
**Magnetic moment**: 0.22 μB per formula unit

Below is an optimized crystal structure of CePmHgTe, with properties calculated at the PBE level.

Lattice parameters (Å, degrees): 4.453 4.453 6.353 90.00 90.00 90.00
Last column: magnetic moment on the atom in μB.
Element x y z (fractional)
Pm (0.500, 0.500, 0.500)  -0.01
Te (0.000, 0.000, 0.500)  -0.01
Hg (0.500, 0.500, 0.000)  0.01
Ce (0.000, 0.000, 0.000)  0.84

Properties
**Distance to the lowest polymorph of the same formula**: 0.0 meV/atom
**D(E_F)**: 8.868 states/eV per cell
**Crystal system**: tetragonal
**Formation energy without anion corrections**: -0.81 eV per atom
**Magnetic moment**: 0.93 μB per formula unit

Below is an optimized crystal structure of Tb2NdAl9, with properties calculated at the PBE level.

Lattice parameters (Å, degrees): 5.615 5.615 9.359 72.54 72.54 60.00
Element x y z (fractional)
Al (0.587, 0.076, 0.749)
Al (0.500, 0.500, 0.500)
Al (0.587, 0.587, 0.749)
Al (0.413, 0.924, 0.251)
Al (0.924, 0.413, 0.251)
Al (0.336, 0.336, 0.993)
Al (0.664, 0.664, 0.007)
Al (0.076, 0.587, 0.749)
Al (0.413, 0.413, 0.251)
Tb (0.858, 0.858, 0.426)
Tb (0.142, 0.142, 0.574)
Nd (0.000, 0.000, 0.000)

Properties
**D(E_F)**: 4.712 states/eV per cell
**Crystal system**: trigonal
**Energy of formation**: -0.392 eV per atom
**Magnetic moment**: 0.00 μB per formula unit